Model a:
The following is a DFT calculation (GGA-PBE) of an optimized crystal structure of Mg2Ir2Au.

Computed properties:
**Volume**: 16.63 Å³ per atom

```
10
Lattice="-0.1234 0.5374 -7.7087 0.9134 -7.6546 -0.5482 -2.7646 -0.3314 0.0212" Properties=species:S:1:pos:R:3 pbc="T T T"
Mg 0.7467 -6.4408 -3.3060
Ir -0.7954 -5.1663 -1.6247
Ir -1.2731 -1.2475 -2.6633
Au 0.0000 0.0000 0.0000
Au 0.3950 -3.5586 -4.1285
Mg 0.4709 -4.3779 -7.0319
Ir -0.7016 -6.2012 -5.5724
Mg 0.0432 -0.6765 -4.9509
Ir -1.1793 -2.2823 -6.6110
Mg 0.3190 -2.7394 -1.2251
```

Model b:
The following is a DFT calculation (GGA-PBE) of an optimized crystal structure of Mg2Ir2Au.

Computed properties:
**Volume**: 18.87 Å³ per atom

```
5
Lattice="3.5761 0.0000 0.0000 0.0000 3.5761 0.0000 1.7880 1.7880 7.3795" Properties=species:S:1:pos:R:3 pbc="T T T"
Ir 3.5761 1.7880 3.6898
Au 0.0000 0.0000 0.0000
Mg 3.5761 3.5761 5.8545
Mg 1.7880 1.7880 1.5250
Ir 1.7880 3.5761 3.6898
```

It is model b that is most stable; the runner-up trails by 0.086 eV/atom.

Model a:
The following is a DFT calculation (GGA-PBE) of an optimized crystal structure of MgZnIrAu.

Computed properties:
**Volume**: 15.55 Å³ per atom

```
4
Lattice="-0.2079 4.0971 -1.7169 -3.9204 2.0712 -0.3421 -0.9193 3.4680 2.6276" Properties=species:S:1:pos:R:3 pbc="T T T"
Zn -1.2619 2.4091 0.1421
Au 0.0000 0.0000 0.0000
Mg -3.7858 7.2273 0.4264
Ir -2.5238 4.8182 0.2843
```

Model b:
The following is a DFT calculation (GGA-PBE) of an optimized crystal structure of MgZnIrAu.

Computed properties:
**Volume**: 15.51 Å³ per atom

```
4
Lattice="3.5964 0.0000 0.0000 0.0000 4.1050 0.0000 0.0000 0.0000 4.2012" Properties=species:S:1:pos:R:3 pbc="T T T"
Zn 0.0000 0.0000 0.0000
Ir 1.7982 2.0525 0.0000
Au 1.7982 0.0000 2.1006
Mg 0.0000 2.0525 2.1006
```

It is model b that is most stable; the runner-up trails by 0.064 eV/atom.

Model a:
The following is a DFT calculation (GGA-PBE) of an optimized crystal structure of MgZrIrAu2.

Computed properties:
**Volume**: 25.57 Å³ per atom

```
5
Lattice="5.1705 0.0000 0.0000 0.0000 4.7823 0.0000 0.0000 0.0000 5.1705" Properties=species:S:1:pos:R:3 pbc="T T T"
Au 0.0000 0.0000 2.5853
Mg 2.5853 2.3911 2.5853
Zr 0.0000 2.3911 0.0000
Au 2.5853 0.0000 0.0000
Ir 0.0000 0.0000 0.0000
```

Model b:
The following is a DFT calculation (GGA-PBE) of an optimized crystal structure of MgZrIrAu2.

Computed properties:
**Volume**: 23.42 Å³ per atom

```
5
Lattice="5.0466 0.0000 0.0000 0.0000 4.5981 0.0000 0.0000 0.0000 5.0466" Properties=species:S:1:pos:R:3 pbc="T T T"
Au 0.0000 0.0000 2.5233
Au 2.5233 0.0000 0.0000
Ir 0.0000 0.0000 0.0000
Mg 0.0000 2.2991 0.0000
Zr 2.5233 2.2991 2.5233
```

It is model a that is most stable; the runner-up trails by 0.281 eV/atom.